KHg: relaxed, GGA-PBEsol.

a b c (Å): 4.502 5.570 6.517
angles (deg): 115.30 110.21 90.00
Element x y z (fractional)
1 K 0.604 0.354 0.207
2 K 0.396 0.646 0.793
3 Hg 0.836 0.086 0.671
4 Hg 0.164 0.914 0.329

Computed properties:
Its total magnetization is 0.00 μB/f.u. The calculation puts the energy relative to the elements at -195 meV per atom. The calculated total energy comes out at -4.18 eV per cell. As for the space group: Imma (74).

KHg2: relaxed, GGA-PBEsol.

a b c (Å): 4.694 4.694 9.487
angles (deg): 104.32 104.32 90.00
Element x y z (fractional)
1 Hg 0.580 0.580 0.161
2 Hg 0.420 0.420 0.839
3 K 0.250 0.750 0.500
4 Hg 0.670 0.170 0.339
5 Hg 0.830 0.330 0.661
6 K 0.000 0.000 0.000

Computed properties:
Its total magnetization is 0.00 μB/f.u. The calculation puts the energy relative to the elements at -219 meV per atom. The calculated total energy comes out at -5.85 eV per cell. As for the space group: I4_1/amd (141).